Entry 1:
# Th3AgC

Th3AgC after structural relaxation (GGA-PBE, OQMD via LeMat-Bulk).

Geometry as CIF:
```
data_Th3AgC
_space_group_name_H-M_alt 'P 1 21/m 1'
_space_group_IT_number 11
_cell_length_a 3.7474
_cell_length_b 10.2670
_cell_length_c 6.7457
_cell_angle_alpha 90.00
_cell_angle_beta 106.12
_cell_angle_gamma 90.00
loop_
_space_group_symop_operation_xyz
'x,y,z'
'-x,-y,-z'
'-x,y+1/2,-z'
'x,-y+1/2,z'
loop_
_atom_site_label
_atom_site_type_symbol
_atom_site_fract_x
_atom_site_fract_y
_atom_site_fract_z
Th1 Th 0.0489 0.2500 0.0984
Th2 Th 0.3714 0.0469 0.7439
Ag1 Ag 0.2491 0.7500 0.4972
C1 C 0.0000 0.0000 0.0000
```

Total magnetic moment   0.0 μB/f.u.

Entry 2:
# SrBi2Pt2

SrBi2Pt2 after structural relaxation (GGA-PBE, OQMD via LeMat-Bulk).

Geometry as CIF:
```
data_SrBi2Pt2
_space_group_name_H-M_alt 'I 4/m m m'
_space_group_IT_number 139
_space_group_name_Hall '-I 4 2'
_cell_length_a 4.9280
_cell_length_b 4.9280
_cell_length_c 10.8706
_cell_angle_alpha 90.00
_cell_angle_beta 90.00
_cell_angle_gamma 90.00
loop_
_atom_site_label
_atom_site_type_symbol
_atom_site_fract_x
_atom_site_fract_y
_atom_site_fract_z
Sr1 Sr 0.0000 0.0000 0.0000
Bi1 Bi 0.0000 0.5000 0.2500
Pt1 Pt 0.0000 0.0000 0.3788
```

Total magnetic moment   0.0 μB/f.u.

Entry 3:
# Be2TcHg

Be2TcHg after structural relaxation (GGA-PBE, OQMD via LeMat-Bulk).

Geometry as CIF:
```
data_Be2TcHg
_space_group_name_H-M_alt 'F -4 3 m'
_space_group_IT_number 216
_space_group_name_Hall 'F -4 2 3'
_cell_length_a 6.0559
_cell_length_b 6.0559
_cell_length_c 6.0559
_cell_angle_alpha 90.00
_cell_angle_beta 90.00
_cell_angle_gamma 90.00
loop_
_atom_site_label
_atom_site_type_symbol
_atom_site_fract_x
_atom_site_fract_y
_atom_site_fract_z
Be1 Be 0.0000 0.0000 0.0000
Be2 Be 0.2500 0.2500 0.2500
Tc1 Tc 0.0000 0.0000 0.5000
Hg1 Hg 0.2500 0.2500 0.7500
```

Total magnetic moment   0.0 μB/f.u.

Entry 4:
# HoErMgCo2

HoErMgCo2 after structural relaxation (GGA-PBE, OQMD via LeMat-Bulk).

Geometry as CIF:
```
data_HoErMgCo2
_space_group_name_H-M_alt 'I m m 2'
_space_group_IT_number 44
_cell_length_a 4.1633
_cell_length_b 5.6232
_cell_length_c 8.1428
_cell_angle_alpha 90.00
_cell_angle_beta 90.00
_cell_angle_gamma 90.00
loop_
_space_group_symop_operation_xyz
'x,y,z'
'-x,-y,z'
'-x,y,z'
'x,-y,z'
'x+1/2,y+1/2,z+1/2'
'-x+1/2,-y+1/2,z+1/2'
'-x+1/2,y+1/2,z+1/2'
'x+1/2,-y+1/2,z+1/2'
loop_
_atom_site_label
_atom_site_type_symbol
_atom_site_fract_x
_atom_site_fract_y
_atom_site_fract_z
Ho1 Ho 0.0000 0.0000 0.0000
Er1 Er 0.0000 0.0000 0.4154
Mg1 Mg 0.0000 0.5000 0.2077
Co1 Co 0.0000 0.3006 0.7077
```

Total magnetic moment   0.0 μB/f.u.

no.,final energy (eV per atom)
1,-7.071
2,-4.884
3,-3.862
4,-5.191